! KMoIO6 | the Alexandria database | PBE+U | relaxed; values from VASP
! ΔE to the lowest computed polymorph, meV per atom: 4.6
! Fermi-level density of states, states/eV per atom: 0.000
! Calculated total energy, eV for the cell shown: -403.96
! Magnetization, μB/cell: 0.00
&SYSTEM
  ibrav = 0, nat = 72, ntyp = 4
/
ATOMIC_SPECIES
K 39.10 K.upf
Mo 95.94 Mo.upf
I 126.90 I.upf
O 16.00 O.upf
ATOMIC_POSITIONS angstrom
K 1.256 1.391 1.499
K 1.256 8.513 5.503
K 2.485 11.295 1.499
K 2.485 18.417 5.503
K 4.996 1.391 2.505
K 4.996 8.513 6.510
K 6.226 11.295 2.505
K 6.226 18.417 6.510
Mo 0.579 2.132 5.759
Mo 0.579 7.772 1.755
Mo 3.162 12.036 5.759
Mo 3.162 17.676 1.755
Mo 4.320 2.132 6.253
Mo 4.320 7.772 2.249
Mo 6.902 12.036 6.253
Mo 6.902 17.676 2.249
I 0.577 14.330 3.959
I 0.577 15.382 7.963
I 3.163 4.426 3.959
I 3.163 5.478 7.963
I 4.318 14.330 0.045
I 4.318 15.382 4.049
I 6.904 4.426 0.045
I 6.904 5.478 4.049
O 0.087 1.569 4.184
O 0.087 8.335 0.180
O 0.428 4.227 4.972
O 0.428 5.677 0.968
O 0.792 0.637 6.665
O 0.792 9.267 2.661
O 0.953 3.466 7.544
O 0.953 6.438 3.540
O 1.068 13.333 2.540
O 1.068 16.379 6.544
O 1.276 12.413 5.495
O 1.276 17.299 1.491
O 2.465 2.509 5.495
O 2.465 7.395 1.491
O 2.673 3.429 2.540
O 2.673 6.475 6.544
O 2.788 13.370 7.544
O 2.788 16.342 3.540
O 2.949 10.541 6.665
O 2.949 19.171 2.661
O 3.313 14.131 4.972
O 3.313 15.581 0.968
O 3.653 11.473 4.184
O 3.653 18.239 0.180
O 3.828 1.569 7.828
O 3.828 8.335 3.824
O 4.169 4.227 7.040
O 4.169 5.677 3.036
O 4.532 0.637 5.347
O 4.532 9.267 1.343
O 4.693 3.466 4.468
O 4.693 6.438 0.464
O 4.809 13.333 1.464
O 4.809 16.379 5.468
O 5.016 12.413 6.517
O 5.016 17.299 2.513
O 6.206 2.509 6.517
O 6.206 7.395 2.513
O 6.413 3.429 1.464
O 6.413 6.475 5.468
O 6.529 13.370 4.468
O 6.529 16.342 0.464
O 6.690 10.541 5.347
O 6.690 19.171 1.343
O 7.053 14.131 7.040
O 7.053 15.581 3.036
O 7.394 11.473 7.828
O 7.394 18.239 3.824
CELL_PARAMETERS angstrom
7.481 0.000 0.000
0.000 19.808 0.000
0.000 0.000 8.008